VASP calculation (PBE) on a relaxed NaNdNiPb crystal.

POSCAR file:
```
NaNdNiPb
1.0
4.952 0.000 0.000
2.476 4.289 0.000
2.476 1.430 4.043
Pb Ni Nd Na
1 1 1 1
direct
0.750 0.750 0.750
0.000 0.000 0.000
0.250 0.250 0.250
0.500 0.500 0.500
```

Symmetry: No. 216
E_form in kJ/mol of atoms: -16



VASP calculation (PBE) on a relaxed NaNdNiSn crystal.

POSCAR file:
```
NaNdNiSn
1.0
4.889 0.000 0.000
2.444 4.234 0.000
2.444 1.411 3.992
Ni Nd Sn Na
1 1 1 1
direct
0.000 0.000 0.000
0.750 0.750 0.750
0.250 0.250 0.250
0.500 0.500 0.500
```

Symmetry: No. 216
E_form in kJ/mol of atoms: -28



VASP calculation (PBE) on a relaxed Na3Nd3NpO8 crystal.

POSCAR file:
```
Na3Nd3NpO8
1.0
-5.924 -3.515 1.984
3.456 -1.894 -5.988
2.805 -1.183 6.284
Na Nd Np O
3 3 1 8
direct
0.000 0.000 0.000
0.000 0.500 0.000
0.500 0.500 0.000
0.500 0.000 0.500
0.500 0.500 0.500
0.000 0.500 0.500
0.000 0.000 0.500
0.262 0.524 0.286
0.738 0.476 0.714
0.777 0.554 0.298
0.223 0.446 0.702
0.777 0.021 0.298
0.223 0.979 0.702
0.244 0.021 0.298
0.756 0.979 0.702
```

Symmetry: No. 166
Formation energy from raw total energies in eV/f.u.: -40.0



VASP calculation (PBE) on a relaxed NaNd2NpO6 crystal.

POSCAR file:
```
NaNd2NpO6
1.0
-0.941 -2.955 -5.136
-0.515 -5.978 0.029
-5.567 -2.536 -1.026
Na Nd Np O
1 2 1 6
direct
0.803 0.803 0.591
0.532 0.532 0.405
0.024 0.024 0.929
0.318 0.318 0.047
0.590 0.218 0.240
0.218 0.951 0.240
0.951 0.590 0.240
0.405 0.681 0.774
0.681 0.140 0.774
0.140 0.405 0.774
```

Symmetry: No. 146
Formation energy from raw total energies in eV/f.u.: -29.5



VASP calculation (PBE) on a relaxed Na3Nd2NpO6 crystal.

POSCAR file:
```
Na3Nd2NpO6
1.0
-2.524 5.401 -1.526
-3.183 -4.040 3.379
3.992 1.863 4.122
Na Nd Np O
3 2 1 6
direct
0.163 0.837 0.500
0.837 0.163 0.500
0.500 0.500 0.500
0.333 0.667 0.000
0.667 0.333 0.000
0.000 0.000 0.000
0.927 0.603 0.781
0.749 0.749 0.217
0.073 0.397 0.219
0.603 0.927 0.781
0.251 0.251 0.783
0.397 0.073 0.219
```

Symmetry: No. 12
Formation energy from raw total energies in eV/f.u.: -29.6



VASP calculation (PBE) on a relaxed Na2NdNpO6 crystal.

POSCAR file:
```
Na2NdNpO6
1.0
-3.260 -2.949 -3.843
4.984 -2.242 -2.508
-0.290 -6.537 5.267
Na Nd Np O
4 2 2 12
direct
0.006 0.961 0.254
0.506 0.539 0.754
0.994 0.039 0.746
0.494 0.461 0.246
0.500 0.000 0.000
0.000 0.500 0.500
0.500 0.000 0.500
0.000 0.500 0.000
0.286 0.677 0.050
0.786 0.823 0.550
0.714 0.323 0.950
0.214 0.177 0.450
0.329 0.718 0.439
0.829 0.782 0.939
0.671 0.282 0.561
0.171 0.218 0.061
0.896 0.547 0.229
0.396 0.953 0.729
0.104 0.453 0.771
0.604 0.047 0.271
```

Symmetry: No. 14
Formation energy from raw total energies in eV/f.u.: -25.8



VASP calculation (PBE) on a relaxed Na2Nd2NpO6 crystal.

POSCAR file:
```
Na2Nd2NpO6
1.0
6.204 -0.030 0.144
-3.092 5.379 0.144
-1.033 -1.776 5.567
Na Nd Np O
2 2 1 6
direct
0.840 0.160 0.000
0.160 0.840 0.000
0.335 0.665 0.500
0.665 0.335 0.500
0.000 0.000 0.500
0.761 0.761 0.700
0.045 0.376 0.700
0.239 0.239 0.300
0.376 0.045 0.700
0.955 0.624 0.300
0.624 0.955 0.300
```

Symmetry: No. 12
Formation energy from raw total energies in eV/f.u.: -29.4



VASP calculation (PBE) on a relaxed NaNdNp2S4 crystal.

POSCAR file:
```
NaNdNp2S4
1.0
-3.762 -1.187 0.552
-0.343 -1.989 -6.615
2.241 -5.296 3.879
Na Nd Np S
1 1 2 4
direct
0.500 0.500 0.000
0.000 0.000 0.000
0.500 0.000 0.500
0.000 0.500 0.500
0.500 0.256 0.262
0.500 0.744 0.738
0.000 0.246 0.737
0.000 0.754 0.263
```

Symmetry: No. 10
Formation energy from raw total energies in eV/f.u.: -12.2



VASP calculation (PBE) on a relaxed Na3NdNp2S6 crystal.

POSCAR file:
```
Na3NdNp2S6
1.0
7.021 -0.001 -0.001
-3.510 6.081 -0.001
-1.172 -2.029 6.674
Na Nd Np S
3 1 2 6
direct
0.166 0.834 0.500
0.834 0.166 0.500
0.500 0.500 0.500
0.000 0.000 0.000
0.333 0.667 0.000
0.667 0.333 0.000
0.923 0.581 0.771
0.735 0.735 0.230
0.077 0.419 0.229
0.581 0.923 0.771
0.265 0.265 0.770
0.419 0.077 0.229
```

Symmetry: No. 12
Formation energy from raw total energies in eV/f.u.: -17.9



VASP calculation (PBE) on a relaxed Na3Nd2NpS6 crystal.

POSCAR file:
```
Na3Nd2NpS6
1.0
-6.009 3.233 -1.998
0.675 -2.463 6.636
4.302 5.627 0.382
Na Nd Np S
3 2 1 6
direct
0.167 0.833 0.500
0.833 0.167 0.500
0.500 0.500 0.500
0.333 0.667 0.000
0.667 0.333 0.000
0.000 0.000 0.000
0.923 0.595 0.768
0.750 0.750 0.231
0.077 0.405 0.232
0.595 0.923 0.768
0.250 0.250 0.769
0.405 0.077 0.232
```

Symmetry: No. 12
Formation energy from raw total energies in eV/f.u.: -19.6



VASP calculation (PBE) on a relaxed Na3Nd3NpS8 crystal.

POSCAR file:
```
Na3Nd3NpS8
1.0
8.241 0.000 0.000
-4.121 7.137 -0.026
0.000 -4.736 6.717
Na Nd Np S
3 3 1 8
direct
0.000 0.000 0.000
0.000 0.500 0.000
0.500 0.500 0.000
0.500 0.000 0.500
0.500 0.500 0.500
0.000 0.500 0.500
0.000 0.000 0.500
0.255 0.511 0.267
0.745 0.489 0.733
0.767 0.534 0.278
0.233 0.466 0.722
0.767 0.011 0.278
0.233 0.989 0.722
0.244 0.011 0.278
0.756 0.989 0.722
```

Symmetry: No. 166
Formation energy from raw total energies in eV/f.u.: -25.2



VASP calculation (PBE) on a relaxed NaNdNp2Se4 crystal.

POSCAR file:
```
NaNdNp2Se4
1.0
4.150 0.000 0.000
0.000 7.281 0.147
0.000 -2.543 6.786
Na Nd Np Se
1 1 2 4
direct
0.500 0.500 0.000
0.000 0.000 0.000
0.500 0.000 0.500
0.000 0.500 0.500
0.500 0.256 0.257
0.500 0.744 0.743
0.000 0.246 0.743
0.000 0.754 0.257
```

Symmetry: No. 10
Formation energy from raw total energies in eV/f.u.: -10.4